1.
Ba2PW | GGA-PBEsol | relaxed

Lattice parameters (Å, degrees): 4.5064 4.9414 4.9414 89.97 90.00 90.00
Closest atoms and distances in Å follow each position.
Fractional coordinates of all 4 atoms:
Ba 0.0000 0.5000 0.0000  4 W 3.34, 4 P 3.34, 4 Ba 3.49
Ba 0.0000 0.0000 0.5000  4 P 3.34, 4 W 3.34, 4 Ba 3.49
P 0.5000 0.0000 0.0000  8 Ba 3.34, 4 W 3.49
W 0.5000 0.5000 0.5000  8 Ba 3.34, 4 P 3.49

- D(E_F) (states/eV per atom) = 0.927
- E_tot (eV for the cell shown) = -20.59
- calculated formation energy (eV per atom) = 0.83
- ρ (Mg/m³) = 7.39

---

2.
NaYTiNbO6F | GGA-PBEsol | relaxed

Lattice parameters (Å, degrees): 7.0359 7.2234 7.2234 62.11 60.85 60.85
Closest atoms and distances in Å follow each position.
Fractional coordinates of all 22 atoms:
O 0.4303 0.3197 0.8197  2 Nb 1.99
O 0.8342 0.3210 0.4355  1 Ti 1.96, 1 Nb 1.99
O 0.1658 0.6790 0.5645  1 Ti 1.96, 1 Nb 1.99
O 0.5907 0.0645 0.1790  1 Ti 1.96, 1 Nb 1.99
O 0.5907 0.6790 0.5645  1 Ti 1.96, 1 Nb 1.99
O 0.4093 0.9355 0.8210  1 Ti 1.96, 1 Nb 1.99
O 0.5697 0.6803 0.1803  2 Nb 1.99
O 0.8289 0.9211 0.4211  2 Ti 1.93
O 0.1711 0.0789 0.5789  2 Ti 1.93
O 0.8342 0.9355 0.8210  1 Ti 1.96, 1 Nb 1.99
O 0.1658 0.0645 0.1790  1 Ti 1.96, 1 Nb 1.99
O 0.4093 0.3210 0.4355  1 Ti 1.96, 1 Nb 1.99
Ti 0.5000 0.0000 0.5000  6 O 1.93-1.96
Ti 0.0000 0.0000 0.5000  6 O 1.93-1.96
Na 0.5000 0.5000 0.0000  2 F 2.23
Na 0.0000 0.5000 0.0000  2 F 2.23
Nb 0.5000 0.0000 0.0000  6 O 1.99
Nb 0.5000 0.5000 0.5000  6 O 1.99
Y 0.0000 0.5000 0.5000  2 F 2.20, 4 O 2.41
Y 0.0000 0.0000 0.0000  2 F 2.20, 4 O 2.41
F 0.8847 0.3653 0.8653  2 Y 2.20, 2 Na 2.23
F 0.1153 0.6347 0.1347  2 Y 2.20, 2 Na 2.23

- energy relative to the lowest polymorph listed for this composition (meV/atom) = 4.5
- ΔE_f (raw) (eV/atom) = -2.98
- D(E_F) (states/eV per atom) = 0.000
- E_tot (eV for the cell shown) = -187.09
- ρ (Mg/m³) = 4.57

---

3.
Li2CoPt | GGA-PBEsol | relaxed

Lattice parameters (Å, degrees): 2.6106 3.8976 5.1382 90.00 90.00 90.00
Closest atoms and distances in Å follow each position.
Fractional coordinates of all 4 atoms:
Pt 0.0000 0.0000 0.5263  6 Li 2.49-2.74, 4 Co 2.54, 2 Pt 2.61
Co 0.5000 0.5000 0.7149  1 Li 2.39, 4 Pt 2.54, 2 Co 2.61
Li 0.5000 0.5000 0.2489  1 Co 2.39, 6 Li 2.61-2.65
Li 0.0000 0.0000 0.0099  2 Pt 2.49-2.65, 6 Li 2.61-2.65

- energy relative to the lowest polymorph listed for this composition (meV/atom) = 73.9
- D(E_F) (states/eV per atom) = 0.602
- E_tot (eV for the cell shown) = -19.12
- calculated formation energy (eV per atom) = -0.12
- ρ (Mg/m³) = 8.51

---

4.
ZrAl2AgPd | GGA-PBEsol | relaxed

Lattice parameters (Å, degrees): 4.5453 4.5453 4.8868 90.00 90.00 90.00
Closest atoms and distances in Å follow each position.
Fractional coordinates of all 5 atoms:
Ag 0.0000 0.0000 0.5000  2 Pd 2.44
Zr 0.5000 0.5000 0.5000  4 Ag 3.21, 8 Al 3.34
Pd 0.0000 0.0000 0.0000  4 Al 2.27, 2 Ag 2.44
Al 0.5000 0.0000 0.0000  2 Pd 2.27
Al 0.0000 0.5000 0.0000  2 Pd 2.27

- D(E_F) (states/eV per atom) = 0.609
- E_tot (eV for the cell shown) = -25.64
- calculated formation energy (eV per atom) = 0.18
- ρ (Mg/m³) = 5.91

---

5.
SrAgTe2 | GGA-PBEsol | relaxed

Lattice parameters (Å, degrees): 4.1756 4.3606 7.0161 89.59 90.00 90.00
Closest atoms and distances in Å follow each position.
Fractional coordinates of all 4 atoms:
Te 0.0000 0.9989 0.2377  2 Ag 2.78
Te 0.0000 0.0011 0.7623  2 Ag 2.78
Ag 0.5000 0.0000 0.5000  4 Te 2.78
Sr 0.5000 0.5000 0.0000  8 Te 3.44-3.45

- ΔE_f (raw) (eV/atom) = -0.72
- D(E_F) (states/eV per atom) = 0.256
- E_tot (eV for the cell shown) = -15.09
- ρ (Mg/m³) = 5.86

---

6.
YMgMn2 | GGA-PBEsol | relaxed

Lattice parameters (Å, degrees): 4.7501 4.7501 4.7501 60.00 60.00 60.00
Closest atoms and distances in Å follow each position.
Fractional coordinates of all 4 atoms:
Y 0.7500 0.7500 0.7500  4 Mg 2.91, 4 Mn 2.91
Mn 0.2500 0.2500 0.2500  4 Mg 2.91, 4 Mn 2.91
Mn 0.0000 0.0000 0.0000  4 Mn 2.91, 4 Y 2.91
Mg 0.5000 0.5000 0.5000  4 Y 2.91, 4 Mn 2.91

- D(E_F) (states/eV per atom) = 1.418
- E_tot (eV for the cell shown) = -26.11
- calculated formation energy (eV per atom) = 0.49
- ρ (Mg/m³) = 4.89

---

7.
CaMnTe2 | GGA-PBEsol | relaxed

Lattice parameters (Å, degrees): 4.2559 5.5276 5.5276 67.56 67.36 67.36
Closest atoms and distances in Å follow each position.
Fractional coordinates of all 4 atoms:
Te 0.7128 0.2872 0.2872  2 Mn 2.74
Te 0.2872 0.7128 0.7128  2 Mn 2.74
Mn 0.0000 0.5000 0.5000  4 Te 2.74
Ca 0.5000 0.0000 0.0000  8 Te 3.16-3.53

- energy relative to the lowest polymorph listed for this composition (meV/atom) = 277.0
- ΔE_f (raw) (eV/atom) = -0.47
- D(E_F) (states/eV per atom) = 0.476
- E_tot (eV for the cell shown) = -20.82
- ρ (Mg/m³) = 5.46

---

8.
CuRhSe2 | GGA-PBEsol | relaxed

Lattice parameters (Å, degrees): 3.1450 3.1450 8.1684 78.90 78.90 60.00
Closest atoms and distances in Å follow each position.
Fractional coordinates of all 4 atoms:
Cu 0.5000 0.5000 0.5000  6 Se 2.45
Rh 0.0000 0.0000 0.0000  2 Se 2.33
Se 0.0976 0.0976 0.7073  1 Rh 2.33, 3 Cu 2.45
Se 0.9024 0.9024 0.2927  1 Rh 2.33, 3 Cu 2.45

- ΔE_f (raw) (eV/atom) = 0.22
- D(E_F) (states/eV per atom) = 0.841
- E_tot (eV for the cell shown) = -19.28
- ρ (Mg/m³) = 7.90

---

9.
YTa2Au | GGA-PBEsol | relaxed

Lattice parameters (Å, degrees): 4.7599 4.7599 4.7599 60.00 60.00 60.00
Closest atoms and distances in Å follow each position.
Fractional coordinates of all 4 atoms:
Y 0.2500 0.2500 0.2500  4 Ta 2.91, 4 Au 2.91
Au 0.5000 0.5000 0.5000  4 Y 2.91, 4 Ta 2.91
Ta 0.7500 0.7500 0.7500  4 Ta 2.91, 4 Au 2.91
Ta 0.0000 0.0000 0.0000  4 Ta 2.91, 4 Y 2.91

- energy relative to the lowest polymorph listed for this composition (meV/atom) = 10.3
- D(E_F) (states/eV per atom) = 0.444
- E_tot (eV for the cell shown) = -35.50
- calculated formation energy (eV per atom) = 0.09
- ρ (Mg/m³) = 14.11

---

10.
MgCu2Si | GGA-PBEsol | relaxed

Lattice parameters (Å, degrees): 2.8712 4.0078 4.9382 90.00 90.00 90.00
Closest atoms and distances in Å follow each position.
Fractional coordinates of all 4 atoms:
Cu 0.0000 0.0000 0.2473  2 Si 2.36, 2 Cu 2.44-2.50
Cu 0.0000 0.0000 0.7527  2 Si 2.36, 2 Cu 2.44-2.50
Si 0.0000 0.5000 0.5000  4 Cu 2.36
Mg 0.5000 0.5000 0.0000  8 Cu 2.75, 4 Si 2.86, 2 Mg 2.87

- ΔE_f (raw) (eV/atom) = -0.03
- D(E_F) (states/eV per atom) = 0.293
- E_tot (eV for the cell shown) = -16.27
- ρ (Mg/m³) = 5.24

---

11.
KGaH4 | GGA-PBEsol | relaxed

Lattice parameters (Å, degrees): 5.3535 7.0054 8.6748 90.00 90.00 90.00
Closest atoms and distances in Å follow each position.
Fractional coordinates of all 24 atoms:
H 0.4894 0.6766 0.5873  1 Ga 1.60
H 0.2500 0.5435 0.2123  1 Ga 1.59
H 0.7500 0.4123 0.0916  1 Ga 1.58
H 0.9894 0.3234 0.4127  1 Ga 1.60
H 0.9894 0.1766 0.9127  1 Ga 1.60
H 0.4894 0.8234 0.0873  1 Ga 1.60
H 0.2500 0.9565 0.7123  1 Ga 1.59
H 0.0106 0.8234 0.0873  1 Ga 1.60
H 0.0106 0.6766 0.5873  1 Ga 1.60
H 0.5106 0.1766 0.9127  1 Ga 1.60
H 0.7500 0.0435 0.2877  1 Ga 1.59
H 0.2500 0.5877 0.9084  1 Ga 1.58
H 0.7500 0.0877 0.5916  1 Ga 1.58
H 0.5106 0.3234 0.4127  1 Ga 1.60
H 0.7500 0.4565 0.7877  1 Ga 1.59
H 0.2500 0.9123 0.4084  1 Ga 1.58
K 0.2500 0.1668 0.1749  10 H 2.66-2.98
K 0.7500 0.8332 0.8251  10 H 2.66-2.98
K 0.2500 0.3332 0.6749  10 H 2.66-2.98
K 0.7500 0.6668 0.3251  10 H 2.66-2.98
Ga 0.7500 0.3115 0.9282  4 H 1.58-1.60
Ga 0.2500 0.8115 0.5718  4 H 1.58-1.60
Ga 0.7500 0.1885 0.4282  4 H 1.58-1.60
Ga 0.2500 0.6885 0.0718  4 H 1.58-1.60

- D(E_F) (states/eV per atom) = 0.000
- E_tot (eV for the cell shown) = -74.87
- ρ (Mg/m³) = 2.30

---

12.
SrPPdO2 | GGA-PBEsol | relaxed

Lattice parameters (Å, degrees): 4.1169 4.1169 6.3195 90.00 90.00 90.00
Closest atoms and distances in Å follow each position.
Fractional coordinates of all 5 atoms:
P 0.0000 0.0000 0.5000  4 Pd 2.91, 2 Sr 3.16
O 0.5000 0.0000 0.0000  2 Sr 2.06
O 0.0000 0.5000 0.0000  2 Sr 2.06
Sr 0.0000 0.0000 0.0000  4 O 2.06
Pd 0.5000 0.5000 0.5000  4 P 2.91

- ΔE_f (raw) (eV/atom) = 0.55
- D(E_F) (states/eV per atom) = 1.049
- E_tot (eV for the cell shown) = -21.32
- ρ (Mg/m³) = 3.98

---

13.
Tl2OsCl | GGA-PBEsol | relaxed

Lattice parameters (Å, degrees): 3.0679 3.0679 9.0018 90.00 90.00 90.00
Closest atoms and distances in Å follow each position.
Fractional coordinates of all 4 atoms:
Tl 0.0000 0.0000 0.9494  4 Os 2.95, 4 Tl 3.07
Tl 0.5000 0.5000 0.2562  4 Tl 3.07
Os 0.5000 0.5000 0.7269  4 Cl 2.60
Cl 0.0000 0.0000 0.5675  4 Os 2.60

- energy relative to the lowest polymorph listed for this composition (meV/atom) = 251.5
- ΔE_f (raw) (eV/atom) = 0.71
- D(E_F) (states/eV per atom) = 1.086
- E_tot (eV for the cell shown) = -16.66
- ρ (Mg/m³) = 12.43

---

14.
SrLi | GGA-PBEsol | relaxed

Lattice parameters (Å, degrees): 4.5773 4.5773 16.9950 90.00 90.00 120.00
Closest atoms and distances in Å follow each position.
Fractional coordinates of all 8 atoms:
Sr 0.6667 0.3333 0.6025  6 Li 3.64
Sr 0.3333 0.6667 0.1025  6 Li 3.64
Sr 0.6667 0.3333 0.8975  6 Li 3.64
Sr 0.3333 0.6667 0.3975  6 Li 3.64
Li 0.0000 0.0000 0.2500  3 Li 2.64
Li 0.3333 0.6667 0.7500  3 Li 2.64
Li 0.0000 0.0000 0.7500  3 Li 2.64
Li 0.6667 0.3333 0.2500  3 Li 2.64

- energy relative to the lowest polymorph listed for this composition (meV/atom) = 63.5
- D(E_F) (states/eV per atom) = 0.843
- E_tot (eV for the cell shown) = -14.50
- calculated formation energy (eV per atom) = 0.09
- ρ (Mg/m³) = 2.04

---

15.
Li2HfZrZn | GGA-PBEsol | relaxed

Lattice parameters (Å, degrees): 4.9153 4.9153 4.9828 90.00 90.00 90.00
Closest atoms and distances in Å follow each position.
Fractional coordinates of all 5 atoms:
Li 0.5000 0.0000 0.0000  2 Zr 2.46
Li 0.0000 0.5000 0.0000  2 Zr 2.46
Hf 0.0000 0.0000 0.5000  2 Zr 2.49
Zn 0.5000 0.5000 0.5000  4 Hf 3.48, 8 Li 3.50
Zr 0.0000 0.0000 0.0000  4 Li 2.46, 2 Hf 2.49

- D(E_F) (states/eV per atom) = 0.973
- E_tot (eV for the cell shown) = -18.30
- calculated formation energy (eV per atom) = 1.36
- ρ (Mg/m³) = 4.81

---

16.
TaTeRu | GGA-PBEsol | relaxed

Lattice parameters (Å, degrees): 4.4120 4.4120 4.4120 60.00 60.00 60.00
Closest atoms and distances in Å follow each position.
Fractional coordinates of all 3 atoms:
Te 0.0000 0.0000 0.0000  4 Ta 2.70
Ta 0.2500 0.2500 0.2500  4 Ru 2.70, 4 Te 2.70
Ru 0.5000 0.5000 0.5000  4 Ta 2.70

- ΔE_f (raw) (eV/atom) = 0.38
- D(E_F) (states/eV per atom) = 0.796
- E_tot (eV for the cell shown) = -25.12
- ρ (Mg/m³) = 11.20

---

17.
CdHg2Sb | GGA-PBEsol | relaxed

Lattice parameters (Å, degrees): 4.2198 4.2198 11.3936 100.67 100.67 90.00
Closest atoms and distances in Å follow each position.
Fractional coordinates of all 8 atoms:
Hg 0.8714 0.3750 0.2500  4 Hg 2.96-3.01, 2 Cd 3.12, 2 Sb 3.13
Hg 0.3786 0.8750 0.2500  4 Hg 2.96-3.01, 2 Cd 3.12, 2 Sb 3.13
Hg 0.6250 0.6214 0.7500  4 Hg 2.96-3.01, 2 Cd 3.12, 2 Sb 3.13
Hg 0.1250 0.1286 0.7500  4 Hg 2.96-3.01, 2 Cd 3.12, 2 Sb 3.13
Cd 0.5000 0.5000 0.0000  4 Sb 2.98, 4 Hg 3.12
Cd 0.7500 0.2500 0.5000  4 Sb 2.98, 4 Hg 3.12
Sb 0.0000 0.0000 0.0000  4 Cd 2.98, 4 Hg 3.13
Sb 0.2500 0.7500 0.5000  4 Cd 2.98, 4 Hg 3.13

- energy relative to the lowest polymorph listed for this composition (meV/atom) = 16.7
- ΔE_f (raw) (eV/atom) = 0.05
- D(E_F) (states/eV per atom) = 0.461
- E_tot (eV for the cell shown) = -13.38
- ρ (Mg/m³) = 10.78

---

18.
NiAg2Cl | GGA-PBEsol | relaxed

Lattice parameters (Å, degrees): 4.4799 4.4799 4.4799 60.00 60.00 60.00
Closest atoms and distances in Å follow each position.
Fractional coordinates of all 4 atoms:
Ag 0.0000 0.0000 0.0000  4 Ag 2.74, 4 Ni 2.74
Ag 0.7500 0.7500 0.7500  4 Cl 2.74, 4 Ag 2.74
Cl 0.5000 0.5000 0.5000  4 Ni 2.74, 4 Ag 2.74
Ni 0.2500 0.2500 0.2500  4 Ag 2.74, 4 Cl 2.74

- energy relative to the lowest polymorph listed for this composition (meV/atom) = 58.6
- ΔE_f (raw) (eV/atom) = 0.44
- D(E_F) (states/eV per atom) = 1.694
- E_tot (eV for the cell shown) = -13.03
- ρ (Mg/m³) = 8.09

---

19.
MgF2 | GGA-PBEsol | relaxed

Lattice parameters (Å, degrees): 3.0629 4.6342 4.6342 90.00 90.00 90.00
Closest atoms and distances in Å follow each position.
Fractional coordinates of all 6 atoms:
F 0.5000 0.1968 0.1968  3 Mg 1.99-2.00
F 0.5000 0.8032 0.8032  3 Mg 1.99-2.00
F 0.0000 0.3032 0.6968  3 Mg 1.99-2.00
F 0.0000 0.6968 0.3032  3 Mg 1.99-2.00
Mg 0.5000 0.5000 0.5000  6 F 1.99-2.00
Mg 0.0000 0.0000 0.0000  6 F 1.99-2.00

- ΔE_f (raw) (eV/atom) = -3.55
- D(E_F) (states/eV per atom) = 0.000
- E_tot (eV for the cell shown) = -32.47
- ρ (Mg/m³) = 3.15

---

20.
NdFe2Ge2 | GGA-PBEsol | relaxed

Lattice parameters (Å, degrees): 4.0296 4.0296 5.7103 110.66 110.66 90.00
Closest atoms and distances in Å follow each position.
Fractional coordinates of all 5 atoms:
Ge 0.3641 0.3641 0.7281  4 Fe 2.31
Ge 0.6359 0.6359 0.2719  4 Fe 2.31
Nd 0.0000 0.0000 0.0000  8 Ge 3.15, 8 Fe 3.19
Fe 0.2500 0.7500 0.5000  4 Ge 2.31
Fe 0.7500 0.2500 0.5000  4 Ge 2.31

- D(E_F) (states/eV per atom) = 1.019
- E_tot (eV for the cell shown) = -35.51
- calculated formation energy (eV per atom) = -0.51
- ρ (Mg/m³) = 8.29